## CrAsRh2 (PBE)

Data for crystalline CrAsRh2 at its relaxed geometry.

- ρ: 9.645 g/cm3
- Magnetic moment: 2.32 μB/cell
- Space-group type: P2/m, No. 10
- Formation energy: -0.10 eV/atom
- Total energy: -7.343 eV per atom

Lattice parameters (Å, degrees): 2.8851 3.5821 5.5428 90.00 90.08 90.00
Element x y z (fractional)
Cr  0.0000  0.0000  0.0000
As  0.0000  0.0000  0.5000
Rh  0.4988  0.5000  0.7584
Rh  0.5012  0.5000  0.2416


## MgSbN2F (PBE)

Data for crystalline MgSbN2F at its relaxed geometry.

- ΔE_f (raw): 0.02 eV per atom
- Energy above the lowest structure with this stoichiometry: 0 meV per atom
- ρ: 4.649 g/cm3
- Magnetic moment: 0.15 μB/cell
- Space-group type: P4/mmm, No. 123
- Total energy: -4.823 eV per atom

Lattice parameters (Å, degrees): 4.0944 4.0944 4.1135 90.00 90.00 90.00
Element x y z (fractional)
Mg  0.0000  0.0000  0.0000
Sb  0.5000  0.5000  0.5000
N  0.0000  0.5000  0.5000
N  0.5000  0.0000  0.5000
F  0.5000  0.5000  0.0000


## SbIr2W (PBE)

Data for crystalline SbIr2W at its relaxed geometry.

- ΔE_f (raw): 0.21 eV per atom
- ρ: 17.448 g/cm3
- Magnetic moment: 0.00 μB/cell
- Space-group type: Cmmm, No. 65
- Total energy: -8.485 eV per atom

Lattice parameters (Å, degrees): 5.6229 7.9989 2.9202 90.00 90.00 90.00
Element x y z (fractional)
Sb  0.0000  0.0000  0.0000
Sb  0.5000  0.5000  0.0000
Ir  0.2500  0.2500  0.5000
Ir  0.2500  0.7500  0.5000
Ir  0.7500  0.2500  0.5000
Ir  0.7500  0.7500  0.5000
W  0.0000  0.5000  0.0000
W  0.5000  0.0000  0.0000


## Tm2GeAu (PBE)

Data for crystalline Tm2GeAu at its relaxed geometry.

- ρ: 10.959 g/cm3
- Magnetic moment: 0.00 μB/cell
- Space-group type: P2_1/m, No. 11
- Formation energy: -0.85 eV/atom
- Total energy: -5.058 eV per atom

Lattice parameters (Å, degrees): 5.7999 4.2878 7.8996 90.00 110.43 90.00
Element x y z (fractional)
Tm  0.2181  0.2500  0.4273
Tm  0.2191  0.2500  0.9315
Tm  0.7809  0.7500  0.0685
Tm  0.7819  0.7500  0.5727
Ge  0.3275  0.7500  0.7081
Ge  0.6725  0.2500  0.2919
Au  0.3252  0.7500  0.2069
Au  0.6748  0.2500  0.7931